No. 1
Density functional theory data (PBEsol) for a relaxed structure of RbMoSCl2.

Results
Symmetry: No. 123
V in Å³/cell: 180.1
Density in g/cm3: 2.6
Raw total energy in eV/atom: -3.17

Lattice parameters (Å, degrees): 5.6528 5.6441 5.6441 90.00 90.00 90.00
Atoms (fractional coordinates):
Mo 0.5000 0.5000 0.5000
S 0.5000 0.0000 0.0000
Rb 0.0000 0.0000 0.0000
Cl 0.0000 0.0000 0.5000
Cl 0.0000 0.5000 0.0000

=====

No. 2
Density functional theory data (PBEsol) for a relaxed structure of ReMoCl2.

Results
Symmetry: No. 99
E above lowest polymorph in eV/f.u.: 0.00
V in Å³/cell: 68.3
Density in g/cm3: 8.6
Raw total energy in eV/atom: -7.31

Lattice parameters (Å, degrees): 2.8990 2.8990 8.1265 90.00 90.00 90.00
Atoms (fractional coordinates):
Re 0.5000 0.5000 0.7309
Mo 0.0000 0.0000 0.5157
Cl 0.0000 0.0000 0.9366
Cl 0.5000 0.5000 0.3167